[1]
A relaxed structure of BaCuSi2P3, computed with PBE.

a b c (Å): 4.5618 10.2203 6.9280
angles (deg): 90.00 109.19 90.00
Closest atoms and distances in Å follow each position.
Atoms (fractional coordinates):
1 Ba 0.7802 0.7500 0.4938  8 P 3.23-3.54, 1 Cu 3.30
2 Ba 0.2198 0.2500 0.5062  8 P 3.23-3.54, 1 Cu 3.30
3 Cu 0.4227 0.2500 0.0914  3 P 2.33-2.35
4 Cu 0.5773 0.7500 0.9086  3 P 2.33-2.35
5 P 0.0850 0.7500 0.1341  2 Si 2.26, 1 Cu 2.33
6 P 0.6235 0.0527 0.2577  2 Si 2.27-2.28, 1 Cu 2.35
7 P 0.6235 0.4473 0.2577  2 Si 2.27-2.28, 1 Cu 2.35
8 P 0.3765 0.5527 0.7423  2 Si 2.27-2.28, 1 Cu 2.35
9 P 0.3765 0.9473 0.7423  2 Si 2.27-2.28, 1 Cu 2.35
10 P 0.9150 0.2500 0.8659  2 Si 2.26, 1 Cu 2.33
11 Si 0.2318 0.5591 0.0273  3 P 2.26-2.28, 1 Si 2.35
12 Si 0.2318 0.9410 0.0273  3 P 2.26-2.28, 1 Si 2.35
13 Si 0.7682 0.0590 0.9727  3 P 2.26-2.28, 1 Si 2.35
14 Si 0.7682 0.4410 0.9727  3 P 2.26-2.28, 1 Si 2.35

Properties
space-group type	P2_1/m
E_tot	-0.3789	Ry per atom

[2]
A relaxed structure of ZnNiW4C2, computed with PBE.

a b c (Å): 3.0510 3.0510 13.0135
angles (deg): 90.00 90.00 120.00
Closest atoms and distances in Å follow each position.
Atoms (fractional coordinates):
1 C 0.3333 0.6667 0.2417  6 W 2.11-2.12
2 C 0.3333 0.6667 0.7583  6 W 2.11-2.12
3 Ni 0.0000 0.0000 0.0000  6 W 2.64
4 W 0.6667 0.3333 0.1506  3 C 2.12
5 W 0.0000 0.0000 0.3306  3 C 2.11
6 W 0.0000 0.0000 0.6694  3 C 2.11
7 W 0.6667 0.3333 0.8494  3 C 2.12
8 Zn 0.6667 0.3333 0.5000  6 W 2.82, 6 Zn 3.05

Properties
space-group type	P-6m2
E_tot	-0.6968	Ry per atom

[3]
A relaxed structure of PrGdPd4Pb2, computed with PBE.

a b c (Å): 4.7212 4.7212 9.0426
angles (deg): 90.00 90.00 120.00
Closest atoms and distances in Å follow each position.
Atoms (fractional coordinates):
1 Gd 0.0000 0.0000 0.0000  8 Pd 3.03-3.07
2 Pb 0.6667 0.3333 0.2423  6 Pd 2.83-2.85
3 Pb 0.6667 0.3333 0.7577  6 Pd 2.83-2.85
4 Pd 0.3333 0.6667 0.1573  3 Pb 2.83, 4 Pd 2.84-3.16, 3 Gd 3.07, 1 Pr 3.10
5 Pd 0.0000 0.0000 0.3351  3 Pb 2.85, 4 Pd 2.98-3.16, 1 Gd 3.03, 3 Pr 3.11
6 Pd 0.0000 0.0000 0.6649  3 Pb 2.85, 4 Pd 2.98-3.16, 1 Gd 3.03, 3 Pr 3.11
7 Pd 0.3333 0.6667 0.8427  3 Pb 2.83, 4 Pd 2.84-3.16, 3 Gd 3.07, 1 Pr 3.10
8 Pr 0.3333 0.6667 0.5000  8 Pd 3.10-3.11

Properties
space-group type	P-6m2
E_tot	-0.3944	Ry per atom

[4]
A relaxed structure of AcNpSn, computed with PBE.

a b c (Å): 5.4202 5.4202 5.4202
angles (deg): 60.00 60.00 60.00
Closest atoms and distances in Å follow each position.
Atoms (fractional coordinates):
1 Ac 0.0000 0.0000 0.0000  4 Sn 3.32, 4 Np 3.32
2 Np 0.2500 0.2500 0.2500  4 Ac 3.32
3 Sn 0.7500 0.7500 0.7500  4 Ac 3.32

Properties
space-group type	F-43m
E_tot	-0.4627	Ry per atom

[5]
A relaxed structure of Li4CdSiPd2, computed with PBE.

a b c (Å): 4.3054 4.3054 6.1647
angles (deg): 90.00 90.00 90.00
Closest atoms and distances in Å follow each position.
Atoms (fractional coordinates):
1 Cd 0.0000 0.0000 0.0000  4 Li 2.69, 4 Pd 2.81
2 Li 0.5000 0.5000 0.0000  4 Li 2.69, 4 Pd 2.81
3 Li 0.5000 0.0000 0.2625  4 Li 2.60-2.69, 2 Si 2.60, 2 Cd 2.69, 1 Pd 2.74
4 Li 0.0000 0.0000 0.5000  4 Pd 2.50, 4 Li 2.60
5 Li 0.0000 0.5000 0.7375  4 Li 2.60-2.69, 2 Si 2.60, 2 Cd 2.69, 1 Pd 2.74
6 Pd 0.0000 0.5000 0.2926  3 Li 2.50-2.74, 2 Si 2.50
7 Pd 0.5000 0.0000 0.7074  3 Li 2.50-2.74, 2 Si 2.50
8 Si 0.5000 0.5000 0.5000  4 Pd 2.50, 4 Li 2.60

Properties
space-group type	P-4m2
E_tot	-0.2590	Ry per atom

[6]
A relaxed structure of ScNbN2O, computed with PBE.

a b c (Å): 5.3112 5.3356 5.7422
angles (deg): 91.27 116.97 119.15
Closest atoms and distances in Å follow each position.
Atoms (fractional coordinates):
1 N 0.1958 0.4272 0.2343  1 Nb 1.88
2 N 0.4872 0.0371 0.2608  2 Nb 1.99-2.18, 2 Sc 2.17-2.18
3 N 0.7747 0.5505 0.7312  2 Nb 2.03-2.07, 1 Sc 2.12
4 N 0.1870 0.2212 0.7477  1 Nb 1.91
5 Nb 0.3033 0.1789 0.4270  3 N 1.88-2.07
6 Nb 0.7300 0.8736 0.5751  2 N 1.91-2.03, 1 O 1.98
7 O 0.8220 0.7642 0.2629  1 Sc 2.07, 2 Nb 2.13-2.19
8 O 0.5217 0.9437 0.7590  1 Nb 1.98, 1 Sc 2.10
9 Sc 0.7033 0.3559 0.0704  2 O 2.07-2.27, 3 N 2.16-2.21
10 Sc 0.2750 0.6477 0.9317  1 O 2.10, 4 N 2.12-2.22

Properties
space-group type	P1
E_tot	-0.6868	Ry per atom

[7]
A relaxed structure of FeSn, computed with PBE.

a b c (Å): 5.2849 5.2849 4.4485
angles (deg): 90.00 90.00 119.94
Closest atoms and distances in Å follow each position.
Atoms (fractional coordinates):
1 Fe 0.5000 0.0000 0.0000  6 Sn 2.64-2.70, 4 Fe 2.64
2 Fe 0.0000 0.5000 0.0000  6 Sn 2.64-2.70, 4 Fe 2.64
3 Fe 0.5000 0.5000 0.0000  4 Fe 2.64, 6 Sn 2.64-2.70
4 Sn 0.0000 0.0000 0.0000  6 Fe 2.64
5 Sn 0.6671 0.3329 0.5000  6 Fe 2.70
6 Sn 0.3329 0.6671 0.5000  6 Fe 2.70

Properties
space-group type	P6/mmm
E_tot	-0.4533	Ry per atom

[8]
A relaxed structure of CsCuSiSe2S, computed with PBE.

a b c (Å): 8.1358 8.1358 10.1091
angles (deg): 90.00 90.00 153.96
Closest atoms and distances in Å follow each position.
Atoms (fractional coordinates):
1 Cs 0.2608 0.7392 0.2500  6 Se 3.56-3.74, 2 S 3.60, 2 Cs 3.67, 2 Cu 3.93
2 Cs 0.7392 0.2608 0.7500  6 Se 3.56-3.74, 2 S 3.60, 2 Cs 3.67, 2 Cu 3.93
3 Cu 0.5415 0.4585 0.2500  2 S 2.28, 2 Se 2.40
4 Cu 0.4585 0.5415 0.7500  2 S 2.28, 2 Se 2.40
5 S 0.9559 0.0441 0.2500  2 Cu 2.28
6 S 0.0441 0.9559 0.7500  2 Cu 2.28
7 Se 0.6074 0.3926 0.0357  1 Cu 2.40, 2 Si 2.53
8 Se 0.6074 0.3926 0.4643  1 Cu 2.40, 2 Si 2.53
9 Se 0.3926 0.6074 0.5357  1 Cu 2.40, 2 Si 2.53
10 Se 0.3926 0.6074 0.9643  1 Cu 2.40, 2 Si 2.53
11 Si 0.0000 0.0000 0.0000  4 Se 2.53, 2 S 2.62
12 Si 0.0000 0.0000 0.5000  4 Se 2.53, 2 S 2.62

Properties
space-group type	Cmcm
E_tot	-0.2909	Ry per atom

[9]
A relaxed structure of TaAl2Ag, computed with PBE.

a b c (Å): 4.5819 4.5819 4.5819
angles (deg): 60.00 60.00 60.00
Closest atoms and distances in Å follow each position.
Atoms (fractional coordinates):
1 Ag 0.5000 0.5000 0.5000  4 Ta 2.81, 4 Al 2.81
2 Al 0.0000 0.0000 0.0000  4 Ta 2.81, 4 Al 2.81
3 Al 0.2500 0.2500 0.2500  4 Ag 2.81, 4 Al 2.81
4 Ta 0.7500 0.7500 0.7500  4 Ag 2.81, 4 Al 2.81

Properties
space-group type	F-43m
E_tot	-0.3835	Ry per atom

[10]
A relaxed structure of Gd2YSn5Pb2, computed with PBE.

a b c (Å): 13.5385 13.5385 4.5612
angles (deg): 90.00 90.00 161.22
Closest atoms and distances in Å follow each position.
Atoms (fractional coordinates):
1 Gd 0.8095 0.1905 0.5000  8 Sn 3.23-3.47, 2 Pb 3.37
2 Gd 0.1905 0.8095 0.5000  8 Sn 3.23-3.47, 2 Pb 3.37
3 Pb 0.9025 0.0975 0.0000  6 Sn 3.18-3.46, 2 Gd 3.37, 2 Y 3.42
4 Pb 0.0975 0.9025 0.0000  6 Sn 3.18-3.46, 2 Gd 3.37, 2 Y 3.42
5 Sn 0.7116 0.2884 0.0000  2 Sn 3.01, 4 Gd 3.23
6 Sn 0.2884 0.7116 0.0000  2 Sn 3.01, 4 Gd 3.23
7 Sn 0.0000 0.0000 0.5000  4 Y 3.18, 4 Sn 3.37, 4 Pb 3.46
8 Sn 0.5954 0.4046 0.5000  4 Pb 3.18, 2 Gd 3.37, 2 Sn 3.37, 2 Y 3.42
9 Sn 0.4046 0.5954 0.5000  4 Pb 3.18, 2 Gd 3.37, 2 Sn 3.37, 2 Y 3.42
10 Y 0.5000 0.5000 0.0000  8 Sn 3.18-3.42, 4 Pb 3.42

Properties
space-group type	Cmmm
E_tot	-0.3541	Ry per atom

[11]
A relaxed structure of NaErZnTe3, computed with PBE.

a b c (Å): 14.9672 4.2956 11.7266
angles (deg): 90.00 90.00 90.00
Closest atoms and distances in Å follow each position.
Atoms (fractional coordinates):
1 Er 0.4850 0.7500 0.1572  6 Te 3.03-3.20
2 Er 0.9850 0.7500 0.3428  6 Te 3.03-3.20
3 Er 0.0150 0.2500 0.6572  6 Te 3.03-3.20
4 Er 0.5150 0.2500 0.8428  6 Te 3.03-3.20
5 Na 0.7692 0.7500 0.0658  4 Te 3.19-3.32
6 Na 0.2692 0.7500 0.4342  4 Te 3.19-3.32
7 Na 0.7308 0.2500 0.5658  4 Te 3.19-3.32
8 Na 0.2308 0.2500 0.9342  4 Te 3.19-3.32
9 Te 0.6119 0.2500 0.0700  3 Er 3.03-3.04, 2 Na 3.19
10 Te 0.1003 0.7500 0.1131  3 Zn 2.73-2.78
11 Te 0.8594 0.2500 0.2485  1 Zn 2.64
12 Te 0.3594 0.2500 0.2515  1 Zn 2.64
13 Te 0.6003 0.7500 0.3869  3 Zn 2.73-2.78
14 Te 0.1119 0.2500 0.4300  3 Er 3.03-3.04, 2 Na 3.19
15 Te 0.8881 0.7500 0.5700  3 Er 3.03-3.04, 2 Na 3.19
16 Te 0.3997 0.2500 0.6131  3 Zn 2.73-2.78
17 Te 0.6406 0.7500 0.7485  1 Zn 2.64
18 Te 0.1406 0.7500 0.7515  1 Zn 2.64
19 Te 0.8997 0.2500 0.8869  3 Zn 2.73-2.78
20 Te 0.3881 0.7500 0.9300  3 Er 3.03-3.04, 2 Na 3.19
21 Zn 0.9886 0.2500 0.0951  4 Te 2.64-2.78
22 Zn 0.4886 0.2500 0.4049  4 Te 2.64-2.78
23 Zn 0.5114 0.7500 0.5951  4 Te 2.64-2.78
24 Zn 0.0114 0.7500 0.9049  4 Te 2.64-2.78

Properties
space-group type	Pnma
E_tot	-0.2742	Ry per atom

[12]
A relaxed structure of CuAsW4C2, computed with PBE.

a b c (Å): 3.1163 3.1163 12.6747
angles (deg): 90.00 90.00 120.00
Closest atoms and distances in Å follow each position.
Atoms (fractional coordinates):
1 As 0.6667 0.3333 0.5000  6 W 2.69
2 C 0.3333 0.6667 0.2495  6 W 2.12-2.15
3 C 0.3333 0.6667 0.7505  6 W 2.12-2.15
4 Cu 0.0000 0.0000 0.0000  6 W 2.72
5 W 0.6667 0.3333 0.1613  3 C 2.12
6 W 0.0000 0.0000 0.3424  3 C 2.15
7 W 0.0000 0.0000 0.6576  3 C 2.15
8 W 0.6667 0.3333 0.8387  3 C 2.12

Properties
space-group type	P-6m2
E_tot	-0.7042	Ry per atom

| no. | calculated volume (Å³/f.u.) |
| --- | --- |
| 1 | 152.53 |
| 2 | 104.91 |
| 3 | 174.56 |
| 4 | 112.60 |
| 5 | 114.27 |
| 6 | 60.16 |
| 7 | 35.89 |
| 8 | 146.85 |
| 9 | 68.02 |
| 10 | 269.17 |
| 11 | 188.48 |
| 12 | 106.59 |